An optimized crystal structure of Sr2CuTe, computed with GGA-PBE.

a = 8.3529 Å, b = 8.3529 Å, c = 7.2509 Å
α = 54.83°, β = 54.83°, γ = 90.00°
Last column: nearest neighbours and their distance in Å.
Positions (direct):
Sr 0.6052 0.1250 0.2500  2 Cu 3.03, 2 Te 3.25
Sr 0.1448 0.6250 0.2500  2 Cu 3.03, 2 Te 3.25
Sr 0.3750 0.3948 0.7500  2 Cu 3.03, 2 Te 3.25
Sr 0.8750 0.8552 0.7500  2 Cu 3.03, 2 Te 3.25
Te 0.0000 0.0000 0.0000  4 Sr 3.25
Te 0.7500 0.2500 0.5000  4 Sr 3.25
Cu 0.5000 0.5000 0.0000  4 Sr 3.03
Cu 0.2500 0.7500 0.5000  4 Sr 3.03

## Properties
VASP energy	-25.4	eV for the cell shown